Ca2ZrBiH: relaxed, PBE-GGA.

Computed properties:
DFT total energy (eV per cell): -15.99

abc: 6.117 6.117 5.605
angles: 90.00 90.00 90.00
Fractional coordinates of all 5 atoms:
Ca  0.000  0.500  0.000
Ca  0.500  0.000  0.000
Zr  0.000  0.000  0.500
Bi  0.000  0.000  0.000
H  0.500  0.500  0.500

=====

CaAsSe: relaxed, PBE-GGA.

Computed properties:
Uncorrected formation energy (meV per atom): -775

abc: 4.224 4.500 9.267
angles: 104.02 102.14 90.04
Fractional coordinates of all 6 atoms:
Ca  0.212  0.338  0.177
Ca  0.788  0.662  0.823
As  0.298  0.174  0.847
As  0.702  0.826  0.153
Se  0.147  0.940  0.381
Se  0.853  0.060  0.619

=====

K3InBi3: relaxed, PBE-GGA.

Computed properties:
Formation energy from the elements (eV/atom): -0.245

abc: 7.339 7.339 10.510
angles: 91.07 91.07 91.67
Fractional coordinates of all 14 atoms:
K  0.168  0.832  0.000
K  0.286  0.714  0.500
K  0.457  0.457  0.182
K  0.543  0.543  0.818
K  0.714  0.286  0.500
K  0.832  0.168  0.000
In  0.173  0.173  0.625
In  0.827  0.827  0.375
Bi  0.041  0.491  0.771
Bi  0.139  0.139  0.334
Bi  0.491  0.041  0.771
Bi  0.509  0.959  0.229
Bi  0.861  0.861  0.666
Bi  0.959  0.509  0.229

=====

RbTc2W: relaxed, PBE-GGA.

Computed properties:
Formation energy from the elements (eV/atom): 1.819

abc: 9.195 9.195 9.195
angles: 147.60 147.60 46.48
Fractional coordinates of all 8 atoms:
Rb  0.375  0.625  0.750
Rb  0.625  0.375  0.250
Tc  0.000  0.000  0.000
Tc  0.000  0.000  0.500
Tc  0.000  0.500  0.000
Tc  0.500  0.000  0.500
W  0.125  0.875  0.250
W  0.875  0.125  0.750